No. 1
An optimized crystal structure of La8As3RuI4, computed with PBE.

## Properties
Calculated total energy, eV/cell: -266.0
Energy relative to the elements, uncorrected, eV/atom: -1.24

Lattice parameters (Å, degrees): 8.8058 8.8058 23.3191 90.00 90.00 120.00
Space group R-3m (No. 166, hexagonal axes)
Unique sites:
La1 0.0000 0.0000 0.2346 [6 per cell]
La2 0.0165 0.5083 0.2319 [18 per cell]
As1 0.0000 0.5000 0.5000 [9 per cell]
Ru1 0.0000 0.0000 0.5000 [3 per cell]
I1 0.0000 0.0000 0.0000 [3 per cell]
I2 0.0000 0.5000 0.0000 [9 per cell]


No. 2
An optimized crystal structure of La8AsRu3I4, computed with PBE.

## Properties
Calculated total energy, eV/cell: -185.9
Energy relative to the elements, uncorrected, eV/atom: -0.93

Lattice parameters (Å, degrees): 14.8962 8.6031 9.5288 90.00 121.36 90.00
Space group C2/m (No. 12)
Unique sites:
La1 0.0268 0.2367 0.3169 [8 per cell]
La2 0.2319 0.0000 0.6958 [4 per cell]
La3 0.2364 0.5000 0.6831 [4 per cell]
As1 0.0000 0.5000 0.5000 [2 per cell]
Ru1 0.0000 0.0000 0.5000 [2 per cell]
Ru2 0.2500 0.2500 0.5000 [4 per cell]
I1 0.0000 0.0000 0.0000 [2 per cell]
I2 0.0000 0.5000 0.0000 [2 per cell]
I3 0.2500 0.2500 0.0000 [4 per cell]


No. 3
An optimized crystal structure of La8AsS3I4, computed with PBE.

## Properties
Calculated total energy, eV/cell: -262.8
Energy relative to the elements, uncorrected, eV/atom: -1.56

Lattice parameters (Å, degrees): 8.4688 8.4688 23.6392 90.00 90.00 120.00
Space group R-3m (No. 166, hexagonal axes)
Unique sites:
La1 0.0000 0.0000 0.2310 [6 per cell]
La2 0.0113 0.5056 0.7676 [18 per cell]
As1 0.0000 0.0000 0.5000 [3 per cell]
S1 0.0000 0.5000 0.5000 [9 per cell]
I1 0.0000 0.0000 0.0000 [3 per cell]
I2 0.0000 0.5000 0.0000 [9 per cell]


> Which of these has the highest energy relative to the elements, uncorrected?

La8AsRu3I4


> Which value of energy relative to the elements, uncorrected does entry 3 give?

-1.56 eV/atom


> Which of these has the highest energy relative to the elements, uncorrected?

La8AsRu3I4